[1]
VASP calculation (PBE) on a relaxed structure of SbRuPt4.

The total magnetic moment comes out at 2.205 μB/f.u. Its space group is F-43m. The uncorrected formation energy is 28 kJ/mol of atoms.

a = 5.3176 Å, b = 5.3176 Å, c = 5.3176 Å
α = 60.00°, β = 60.00°, γ = 60.00°
Site moments in Bohr magnetons follow the coordinates.
Fractional coordinates of all 6 atoms:
Ru1 0.7500 0.7500 0.7500  1.95
Pt1 0.3755 0.3755 0.3755  0.07
Pt2 0.3755 0.8734 0.3755  0.07
Pt3 0.3755 0.3755 0.8734  0.07
Sb1 0.0000 0.0000 0.0000  -0.03
Pt4 0.8734 0.3755 0.3755  0.07



[2]
VASP calculation (PBE) on a relaxed structure of Sb4RuPt.

The total magnetic moment comes out at 0.000 μB/f.u. Its space group is P2_1/c. The uncorrected formation energy is -24 kJ/mol of atoms.

a = 6.5441 Å, b = 6.5303 Å, c = 6.4942 Å
α = 90.00°, β = 92.44°, γ = 90.00°
Fractional coordinates of all 12 atoms:
Sb1 0.3599 0.3662 0.3856
Pt1 0.5000 0.5000 0.0000
Sb2 0.1401 0.8662 0.6144
Sb3 0.8813 0.6269 0.1315
Pt2 0.0000 0.0000 0.0000
Sb4 0.6187 0.1269 0.8685
Sb5 0.3813 0.8731 0.1315
Sb6 0.1187 0.3731 0.8685
Sb7 0.8599 0.1338 0.3856
Ru1 0.0000 0.5000 0.5000
Sb8 0.6401 0.6338 0.6144
Ru2 0.5000 0.0000 0.5000



[3]
VASP calculation (PBE) on a relaxed structure of SbRu3Pt.

The total magnetic moment comes out at 4.013 μB/f.u. Its space group is Pm-3m. The uncorrected formation energy is 159 kJ/mol of atoms.

a = 4.7841 Å, b = 4.7841 Å, c = 4.7841 Å
α = 90.00°, β = 90.00°, γ = 90.00°
Site moments in Bohr magnetons follow the coordinates.
Fractional coordinates of all 5 atoms:
Pt1 0.0000 0.0000 0.0000  0.35
Ru1 0.0000 0.0000 0.5000  1.63
Ru2 0.5000 0.0000 0.0000  0.79
Ru3 0.0000 0.5000 0.0000  1.13
Sb1 0.5000 0.5000 0.5000  -0.01



[4]
VASP calculation (PBE) on a relaxed structure of SbRu2Pt.

The total magnetic moment comes out at 0.000 μB/f.u. Its space group is I4/mmm. The uncorrected formation energy is 6 kJ/mol of atoms.

a = 4.7161 Å, b = 4.7161 Å, c = 4.7161 Å
α = 127.94°, β = 127.94°, γ = 76.73°
Fractional coordinates of all 4 atoms:
Sb1 0.2500 0.7500 0.5000
Ru1 0.5000 0.5000 0.0000
Pt1 0.7500 0.2500 0.5000
Ru2 0.0000 0.0000 0.0000



[5]
VASP calculation (PBE) on a relaxed structure of SbRu2Pt.

The total magnetic moment comes out at 0.000 μB/f.u. Its space group is P4/mmm. The uncorrected formation energy is 5 kJ/mol of atoms.

a = 3.8746 Å, b = 4.0463 Å, c = 4.0463 Å
α = 90.00°, β = 90.00°, γ = 90.00°
Fractional coordinates of all 4 atoms:
Sb1 0.5000 0.5000 0.0000
Ru1 0.0000 0.5000 0.5000
Pt1 0.5000 0.0000 0.5000
Ru2 0.0000 0.0000 0.0000



[6]
VASP calculation (PBE) on a relaxed structure of SbRu2Pt.

The total magnetic moment comes out at 0.000 μB/f.u. Its space group is Cmmm. The uncorrected formation energy is 6 kJ/mol of atoms.

a = 4.6363 Å, b = 4.6363 Å, c = 3.0138 Å
α = 90.00°, β = 90.00°, γ = 101.50°
Fractional coordinates of all 4 atoms:
Ru1 0.5000 0.5000 0.0000
Pt1 0.0000 0.5000 0.5000
Sb1 0.5000 0.0000 0.5000
Ru2 0.0000 0.0000 0.0000



[7]
VASP calculation (PBE) on a relaxed structure of SbRu2Pt.

The total magnetic moment comes out at 0.000 μB/f.u. Its space group is Pmm2. The uncorrected formation energy is 14 kJ/mol of atoms.

a = 3.8521 Å, b = 2.9455 Å, c = 6.4594 Å
α = 62.87°, β = 90.00°, γ = 90.00°
Fractional coordinates of all 4 atoms:
Ru1 0.0000 0.9831 0.0171
Sb1 0.0000 0.5078 0.4922
Pt1 0.5000 0.7336 0.7657
Ru2 0.5000 0.2755 0.2251



[8]
VASP calculation (PBE) on a relaxed structure of SbRu2Pt.

The total magnetic moment comes out at 0.000 μB/f.u. Its space group is I-42d. The uncorrected formation energy is 80 kJ/mol of atoms.

a = 5.5329 Å, b = 5.5329 Å, c = 7.3332 Å
α = 67.84°, β = 67.84°, γ = 90.00°
Fractional coordinates of all 8 atoms:
Ru1 0.1028 0.6250 0.2500
Pt1 0.0000 0.0000 0.0000
Ru2 0.6472 0.1250 0.2500
Pt2 0.7500 0.2500 0.5000
Sb1 0.5000 0.5000 0.0000
Sb2 0.2500 0.7500 0.5000
Ru3 0.3750 0.3528 0.7500
Ru4 0.8750 0.8972 0.7500



[9]
VASP calculation (PBE) on a relaxed structure of SbRuPt.

The total magnetic moment comes out at 0.916 μB/f.u. Its space group is Imm2. The uncorrected formation energy is 19 kJ/mol of atoms.

a = 4.8357 Å, b = 4.8357 Å, c = 4.8357 Å
α = 141.97°, β = 131.08°, γ = 63.60°
Site moments in Bohr magnetons follow the coordinates.
Fractional coordinates of all 3 atoms:
Pt1 0.9930 0.9930 0.0000  0.18
Sb1 0.6673 0.6673 0.0000  0.00
Ru1 0.3397 0.3397 0.0000  0.71



[10]
VASP calculation (PBE) on a relaxed structure of SbRu2Pt.

The total magnetic moment comes out at 0.000 μB/f.u. Its space group is P2/m. The uncorrected formation energy is 17 kJ/mol of atoms.

a = 4.0500 Å, b = 2.9948 Å, c = 5.6979 Å
α = 71.37°, β = 90.00°, γ = 90.00°
Fractional coordinates of all 4 atoms:
Pt1 0.5000 0.7500 0.7500
Ru1 0.0000 0.1155 0.9921
Sb1 0.5000 0.2500 0.2500
Ru2 0.0000 0.3845 0.5079



[11]
VASP calculation (PBE) on a relaxed structure of SbRu2Pt.

The total magnetic moment comes out at 0.000 μB/f.u. Its space group is R3m. The uncorrected formation energy is 31 kJ/mol of atoms.

a = 9.0322 Å, b = 9.0322 Å, c = 9.0322 Å
α = 18.69°, β = 18.69°, γ = 18.69°
Fractional coordinates of all 4 atoms:
Ru1 0.2541 0.2541 0.2541
Pt1 0.7478 0.7478 0.7478
Sb1 0.5026 0.5026 0.5026
Ru2 0.9956 0.9956 0.9956



[12]
VASP calculation (PBE) on a relaxed structure of SbRu2Pt.

The total magnetic moment comes out at 1.692 μB/f.u. Its space group is F-43m. The uncorrected formation energy is 31 kJ/mol of atoms.

a = 4.5215 Å, b = 4.5215 Å, c = 4.5215 Å
α = 60.00°, β = 60.00°, γ = 60.00°
Site moments in Bohr magnetons follow the coordinates.
Fractional coordinates of all 4 atoms:
Ru1 0.0000 0.0000 0.0000  0.84
Ru2 0.7500 0.7500 0.7500  0.72
Sb1 0.2500 0.2500 0.2500  0.00
Pt1 0.5000 0.5000 0.5000  0.08